[1]
Density functional theory data (GGA-PBE) for crystalline SrIO2F at its relaxed geometry.

Geometry as POSCAR:
```
SrIO2F
1.0
4.793 0.000 0.000
0.000 4.793 0.000
0.000 0.000 4.188
Sr I O F
1 1 2 1
direct
0.000 0.000 0.000
0.500 0.500 0.000
0.000 0.500 0.500
0.500 0.000 0.500
0.500 0.500 0.500
```

Summary:
**ΔE_f (raw)**: -520 meV/atom
**Crystal system**: tetragonal

[2]
Density functional theory data (GGA-PBE) for crystalline Dy6AgAu2 at its relaxed geometry.

Geometry as POSCAR:
```
Dy6AgAu2
1.0
7.881 -3.524 0.000
7.881 3.524 0.000
-1.573 0.000 4.734
Dy Ag Au
6 1 2
direct
0.079 0.584 0.332
0.245 0.755 0.000
0.416 0.921 0.668
0.584 0.079 0.332
0.755 0.245 0.000
0.921 0.416 0.668
0.500 0.500 0.500
0.167 0.167 0.166
0.833 0.833 0.834
```

Summary:
**Calculated formation energy**: -0.282 eV per atom
**Crystal system**: monoclinic

[3]
Density functional theory data (GGA-PBE) for crystalline Mg2InCl at its relaxed geometry.

Geometry as POSCAR:
```
Mg2InCl
1.0
-1.643 2.809 5.273
1.643 -2.809 5.273
1.643 2.809 -5.273
Mg In Cl
2 1 1
direct
0.000 0.000 0.000
0.747 0.247 0.500
0.268 0.768 0.500
0.566 0.566 0.000
```

Summary:
**ΔE_f (raw)**: -398 meV/atom
**Crystal system**: orthorhombic

[4]
Density functional theory data (GGA-PBE) for crystalline CrAu2Cl at its relaxed geometry.

Geometry as POSCAR:
```
CrAu2Cl
1.0
1.637 0.945 8.825
-1.637 0.945 8.825
0.000 -1.890 8.825
Cr Au Cl
1 2 1
direct
0.000 0.000 0.000
0.483 0.483 0.483
0.736 0.736 0.736
0.278 0.278 0.278
```

Summary:
**ΔE_f (raw)**: -58 meV/atom
**Crystal system**: trigonal

[5]
Density functional theory data (GGA-PBE) for crystalline Nb6CuMo5 at its relaxed geometry.

Geometry as POSCAR:
```
Nb6CuMo5
1.0
-2.274 3.227 6.861
2.274 -3.227 6.861
2.274 3.227 -6.861
Nb Cu Mo
6 1 5
direct
0.082 0.333 0.749
0.245 0.000 0.245
0.416 0.667 0.749
0.584 0.333 0.251
0.755 0.000 0.755
0.918 0.667 0.251
0.500 0.500 0.000
0.000 0.500 0.500
0.167 0.167 0.000
0.338 0.838 0.500
0.662 0.162 0.500
0.833 0.833 0.000
```

Summary:
**Calculated formation energy**: -0.068 eV per atom
**Crystal system**: orthorhombic

[6]
Density functional theory data (GGA-PBE) for crystalline HoSc2Sn at its relaxed geometry.

Geometry as POSCAR:
```
HoSc2Sn
1.0
2.062 -5.868 0.000
2.062 5.868 0.000
0.000 0.000 8.738
Ho Sc Sn
2 4 2
direct
0.052 0.948 0.750
0.948 0.052 0.250
0.366 0.634 0.553
0.366 0.634 0.947
0.634 0.366 0.053
0.634 0.366 0.447
0.241 0.759 0.250
0.759 0.241 0.750
```

Summary:
**Calculated formation energy**: -0.380 eV per atom
**Crystal system**: orthorhombic

[7]
Density functional theory data (GGA-PBE) for crystalline LaMnN3 at its relaxed geometry.

Geometry as POSCAR:
```
LaMnN3
1.0
3.904 0.000 0.000
0.000 3.904 0.000
0.000 0.000 4.618
La Mn N
1 1 3
direct
0.000 0.000 0.000
0.500 0.500 0.491
0.000 0.000 0.495
0.000 0.500 0.472
0.500 0.000 0.472
```

Summary:
**ΔE_f (raw)**: 353 meV/atom
**Crystal system**: tetragonal

[8]
Density functional theory data (GGA-PBE) for crystalline Tb2Dy3HoAs6 at its relaxed geometry.

Geometry as POSCAR:
```
Tb2Dy3HoAs6
1.0
3.570 -6.183 0.000
3.570 6.183 0.000
-2.377 0.000 6.732
Tb Dy Ho As
2 3 1 6
direct
0.167 0.833 0.000
0.833 0.167 0.000
0.000 0.000 0.500
0.333 0.667 0.500
0.667 0.333 0.500
0.500 0.500 0.000
0.085 0.417 0.750
0.252 0.252 0.251
0.417 0.085 0.750
0.583 0.915 0.250
0.748 0.748 0.749
0.915 0.583 0.250
```

Summary:
**Calculated formation energy**: -1.537 eV per atom
**Crystal system**: monoclinic

[9]
Density functional theory data (GGA-PBE) for crystalline ScPaMoRu at its relaxed geometry.

Geometry as POSCAR:
```
ScPaMoRu
1.0
0.000 3.350 3.350
3.350 0.000 3.350
3.350 3.350 0.000
Sc Pa Mo Ru
1 1 1 1
direct
0.000 0.000 0.000
0.500 0.500 0.500
0.750 0.750 0.750
0.250 0.250 0.250
```

Summary:
**Calculated formation energy**: -0.270 eV per atom
**Crystal system**: cubic

[10]
Density functional theory data (GGA-PBE) for crystalline Ti3HI at its relaxed geometry.

Geometry as POSCAR:
```
Ti3HI
1.0
4.137 0.000 0.000
0.000 4.137 0.000
0.000 0.000 4.137
Ti H I
3 1 1
direct
0.000 0.000 0.500
0.000 0.500 0.000
0.500 0.000 0.000
0.000 0.000 0.000
0.500 0.500 0.500
```

Summary:
**Crystal system**: cubic
**E_tot**: -28.3 eV/cell

[11]
Density functional theory data (GGA-PBE) for crystalline SrFe2Au at its relaxed geometry.

Geometry as POSCAR:
```
SrFe2Au
1.0
2.878 -4.466 0.000
2.878 4.466 0.000
0.000 0.000 2.914
Sr Fe Au
1 2 1
direct
0.000 0.000 0.000
0.000 0.500 0.500
0.500 0.000 0.500
0.500 0.500 0.000
```

Summary:
**Calculated formation energy**: 0.698 eV per atom
**Crystal system**: orthorhombic

[12]
Density functional theory data (GGA-PBE) for crystalline Li4Pr3Cd4 at its relaxed geometry.

Geometry as POSCAR:
```
Li4Pr3Cd4
1.0
-2.428 3.687 7.575
2.428 -3.687 7.575
2.428 3.687 -7.575
Li Pr Cd
4 3 4
direct
0.214 0.214 0.000
0.321 0.500 0.821
0.679 0.500 0.179
0.786 0.786 0.000
0.000 0.000 0.000
0.364 0.864 0.500
0.636 0.136 0.500
0.032 0.332 0.699
0.367 0.668 0.699
0.633 0.332 0.301
0.968 0.668 0.301
```

Summary:
**Calculated formation energy**: -0.139 eV per atom
**Crystal system**: orthorhombic

no.,volume (Å³/atom),total magnetic moment (Bohr magnetons per cell)
1,19.24,2.140
2,29.22,0.000
3,24.35,0.000
4,20.48,3.090
5,16.79,0.000
6,26.43,0.002
7,14.07,3.068
8,24.77,0.000
9,18.80,0.000
10,14.16,0.000
11,18.72,4.929
12,24.65,0.001